No. 1
# BaGaSnSb3

BaGaSnSb3 after structural relaxation (PBE, the Alexandria database).

Structure (POSCAR):
```
BaGaSnSb3
1.0
4.559 0.000 0.000
0.000 9.529 0.723
0.000 -1.664 9.279
Ba Ga Sn Sb
2 2 2 6
direct
0.250 0.228 0.301
0.750 0.772 0.699
0.250 0.037 0.642
0.750 0.963 0.358
0.250 0.643 0.106
0.750 0.357 0.894
0.750 0.921 0.057
0.250 0.079 0.943
0.250 0.816 0.412
0.750 0.184 0.588
0.750 0.476 0.200
0.250 0.524 0.800
```

Summary:
The value obtained for the electronic total energy is -3.8832 eV per atom. The calculation puts the formation energy without anion corrections at -0.3299 eV/atom.



No. 2
# CaTlAgN

CaTlAgN after structural relaxation (PBE, the Alexandria database).

Structure (POSCAR):
```
CaTlAgN
1.0
3.572 0.000 0.000
0.000 3.572 0.000
0.000 0.000 12.120
Ca Tl Ag N
2 2 2 2
direct
0.000 0.000 0.903
0.500 0.500 0.403
0.000 0.000 0.207
0.500 0.500 0.707
0.000 0.000 0.579
0.500 0.500 0.079
0.000 0.000 0.393
0.500 0.500 0.893
```

Summary:
Its energy above the lowest structure with this stoichiometry is 0.0 kJ per mole of atoms. The value obtained for the electronic total energy is -4.0583 eV per atom. The calculation puts the formation energy without anion corrections at -0.1722 eV/atom.



No. 3
# HoEr2Tl

HoEr2Tl after structural relaxation (PBE, the Alexandria database).

Structure (POSCAR):
```
HoEr2Tl
1.0
-3.114 1.144 1.299
-2.505 -2.349 0.949
2.211 -0.696 10.797
Ho Er Tl
1 2 1
direct
0.500 0.500 0.500
0.080 0.080 0.760
0.254 0.254 0.239
0.667 0.667 0.000
```

Summary:
Its energy above the lowest structure with this stoichiometry is 6.8 kJ per mole of atoms. The value obtained for the formation energy is -0.11 eV per atom. The value obtained for the electronic total energy is -4.1288 eV per atom.



No. 4
# ZrP2Rh

ZrP2Rh after structural relaxation (PBE, the Alexandria database).

Structure (POSCAR):
```
ZrP2Rh
1.0
3.475 0.000 0.000
0.000 3.475 0.000
0.000 0.000 5.356
P Rh Zr
2 1 1
direct
0.000 0.000 0.964
0.500 0.500 0.309
0.000 0.000 0.424
0.500 0.500 0.803
```

Summary:
Its energy above the lowest structure with this stoichiometry is 7.1 kJ per mole of atoms. The value obtained for the formation energy is -0.76 eV per atom. The value obtained for the electronic total energy is -7.4432 eV per atom.



No. 5
# Th3Sn3Au

Th3Sn3Au after structural relaxation (PBE, the Alexandria database).

Structure (POSCAR):
```
Th3Sn3Au
1.0
-4.045 -1.800 0.977
-2.260 -3.269 -4.860
4.570 -13.507 4.561
Th Sn Au
6 6 2
direct
0.521 0.339 0.619
0.479 0.661 0.381
0.264 0.240 0.231
0.736 0.760 0.769
0.395 0.287 0.922
0.605 0.713 0.078
0.859 0.739 0.543
0.141 0.261 0.457
0.124 0.830 0.923
0.876 0.170 0.077
0.992 0.787 0.229
0.008 0.213 0.771
0.775 0.070 0.381
0.225 0.930 0.619
```

Summary:
The value obtained for the formation energy is -0.58 eV per atom. The value obtained for the electronic total energy is -5.9483 eV per atom.



No. 6
# LiNi2W

LiNi2W after structural relaxation (PBE, the Alexandria database).

Structure (POSCAR):
```
LiNi2W
1.0
-3.179 -1.500 -2.772
-0.676 -4.376 0.660
0.140 3.480 2.814
Li Ni W
1 2 1
direct
0.750 0.250 0.500
0.000 0.000 0.000
0.250 0.750 0.500
0.500 0.500 0.000
```

Summary:
The value obtained for the formation energy is 0.22 eV per atom. The value obtained for the electronic total energy is -6.3915 eV per atom.



No. 7
# BaCN2O

BaCN2O after structural relaxation (PBE, the Alexandria database).

Structure (POSCAR):
```
BaCN2O
1.0
-0.295 -5.427 -0.823
4.421 0.254 -3.257
2.857 -0.735 3.820
C Ba O N
1 1 1 2
direct
0.500 0.500 0.500
0.000 0.000 0.000
0.000 0.000 0.500
0.000 0.500 0.000
0.500 0.000 0.000
```

Summary:
The value obtained for the electronic total energy is -3.8280 eV per atom. The calculation puts the formation energy without anion corrections at 2.7232 eV/atom.



No. 8
# YCuPb2

YCuPb2 after structural relaxation (PBE, the Alexandria database).

Structure (POSCAR):
```
YCuPb2
1.0
4.710 0.000 0.000
0.000 4.706 0.000
0.000 0.000 4.443
Cu Pb Y
1 2 1
direct
0.000 0.500 0.500
0.000 0.000 0.000
0.500 0.500 0.000
0.500 0.000 0.500
```

Summary:
Its energy above the lowest structure with this stoichiometry is 0.0 kJ per mole of atoms. The value obtained for the formation energy is -0.17 eV per atom. The value obtained for the electronic total energy is -4.6668 eV per atom.